No. 1
RbAl3In | PBE-GGA | optimized geometry

## Properties
* calculated formation energy: 1.54 eV per atom
* density of states at the Fermi level: 4.99 states/eV/f.u.
* space group: Pm-3m (221)
* total energy: -7.211 eV/cell

Geometry as POSCAR:
```
RbAl3In
1.0
-0.7599 5.8726 -0.6919
0.4178 -0.6426 -5.9124
-5.8984 -0.8021 -0.3297
Al In Rb
3 1 1
Direct
0.0000 0.0000 0.5000
0.0000 0.5000 0.0000
0.5000 0.0000 0.0000
0.5000 0.5000 0.5000
0.0000 0.0000 0.0000
```

---

No. 2
RbAlIn | PBE-GGA | optimized geometry

## Properties
* calculated formation energy: 0.11 eV per atom
* density of states at the Fermi level: 2.69 states/eV/f.u.
* space group: P-6m2 (187)
* total energy: -7.107 eV/cell

Geometry as POSCAR:
```
RbAlIn
1.0
-0.7380 -3.2018 4.8445
4.4233 1.0759 1.3849
-3.6387 2.7835 1.2854
Al In Rb
1 1 1
Direct
0.1668 0.6667 0.3333
0.1664 0.0000 0.0000
0.6668 0.3333 0.6667
```

---

No. 3
Rb2AlInS4 | PBE-GGA | optimized geometry

## Properties
* density of states at the Fermi level: 0.00 states/eV/f.u.
* space group: Fddd (70)
* total energy: -66.983 eV/cell

Geometry as POSCAR:
```
Rb2AlInS4
1.0
6.1030 0.0000 0.0000
3.0515 7.0376 0.0000
3.0515 0.0000 11.9534
Rb S In Al
4 8 2 2
Direct
0.9300 0.5000 0.1399
0.5700 0.5000 0.8601
0.8200 0.0000 0.3601
0.1800 0.0000 0.6399
0.5193 0.3109 0.6047
0.8739 0.8109 0.8953
0.5802 0.1891 0.1047
0.3152 0.8109 0.1047
0.2307 0.1891 0.8953
0.4348 0.6891 0.3953
0.1698 0.3109 0.3953
0.8761 0.6891 0.6047
0.7500 0.5000 0.5000
0.0000 0.0000 0.0000
0.5000 0.0000 0.0000
0.2500 0.5000 0.5000
```

---

No. 4
Rb2AlIn3Sn4 | PBE-GGA | optimized geometry

## Properties
* calculated formation energy: -0.12 eV per atom
* density of states at the Fermi level: 3.62 states/eV/f.u.
* space group: P-4m2 (115)
* total energy: -31.122 eV/cell

Geometry as POSCAR:
```
Rb2AlIn3Sn4
1.0
5.1886 0.0000 0.0000
0.0000 5.1886 0.0000
0.0000 0.0000 11.8739
Sn Rb In Al
4 2 3 1
Direct
0.5000 0.0000 0.6213
0.5000 0.5000 0.0000
0.0000 0.5000 0.3787
0.0000 0.0000 0.0000
0.5000 0.0000 0.2534
0.0000 0.5000 0.7466
0.0000 0.5000 0.1322
0.0000 0.0000 0.5000
0.5000 0.0000 0.8678
0.5000 0.5000 0.5000
```

---

No. 5
RbAlInSn2 | PBE-GGA | optimized geometry

## Properties
* calculated formation energy: 1.31 eV per atom
* density of states at the Fermi level: 3.66 states/eV/f.u.
* space group: P4/mmm (123)
* total energy: -8.926 eV/cell

Geometry as POSCAR:
```
RbAlInSn2
1.0
-3.5793 -4.5694 2.0414
4.7357 -3.9040 -0.4352
1.6184 1.3181 5.7880
Sn In Al Rb
2 1 1 1
Direct
0.0000 0.0000 0.5000
0.5000 0.0000 0.0000
0.0000 0.5000 0.0000
0.5000 0.5000 0.5000
0.0000 0.0000 0.0000
```

---

No. 6
Rb2SrAlIn | PBE-GGA | optimized geometry

## Properties
* calculated formation energy: 0.46 eV per atom
* density of states at the Fermi level: 8.63 states/eV/f.u.
* space group: P4/mmm (123)
* total energy: -7.819 eV/cell

Geometry as POSCAR:
```
Rb2SrAlIn
1.0
6.7294 0.0000 0.0000
0.0000 6.4458 0.0000
0.0000 0.0000 6.7294
In Al Rb Sr
1 1 2 1
Direct
0.5000 0.5000 0.5000
0.0000 0.0000 0.0000
0.0000 0.0000 0.5000
0.5000 0.0000 0.0000
0.0000 0.5000 0.0000
```

---

No. 7
Rb2AlInTe4 | PBE-GGA | optimized geometry

## Properties
* density of states at the Fermi level: 0.00 states/eV/f.u.
* space group: Fddd (70)
* total energy: -53.522 eV/cell

Geometry as POSCAR:
```
Rb2AlInTe4
1.0
6.8111 0.0000 0.0000
3.4056 7.7147 0.0000
3.4056 0.0000 13.0706
Rb Te In Al
4 8 2 2
Direct
0.1845 0.0000 0.6309
0.5655 0.5000 0.8691
0.9345 0.5000 0.1309
0.8155 0.0000 0.3691
0.5254 0.3011 0.6151
0.8595 0.6989 0.6151
0.8905 0.8011 0.8849
0.5765 0.1989 0.1151
0.4416 0.6989 0.3849
0.1735 0.3011 0.3849
0.2246 0.1989 0.8849
0.3084 0.8011 0.1151
0.7500 0.5000 0.5000
0.0000 0.0000 0.0000
0.5000 0.0000 0.0000
0.2500 0.5000 0.5000
```

---

No. 8
AlIn2Re | PBE-GGA | optimized geometry

## Properties
* calculated formation energy: 0.54 eV per atom
* density of states at the Fermi level: 3.25 states/eV/f.u.
* space group: P4/mmm (123)
* total energy: -19.517 eV/cell

Geometry as POSCAR:
```
AlIn2Re
1.0
2.9912 0.0000 0.0000
0.0000 2.9912 0.0000
0.0000 0.0000 8.7301
Re Al In
1 1 2
Direct
0.5000 0.5000 0.2500
0.5000 0.5000 0.7500
0.0000 0.0000 0.0207
0.0000 0.0000 0.4793
```

---

No. 9
Al2InRe | PBE-GGA | optimized geometry

## Properties
* calculated formation energy: 0.27 eV per atom
* density of states at the Fermi level: 3.19 states/eV/f.u.
* space group: Cmm2 (35)
* total energy: -21.585 eV/cell

Geometry as POSCAR:
```
Al2InRe
1.0
2.9004 -0.0115 0.0000
-0.0245 2.9004 0.0000
0.0000 0.0000 8.3627
Re Al In
1 2 1
Direct
0.5000 0.5000 0.7756
0.5000 0.5000 0.2237
0.0000 0.0000 0.9794
0.0000 0.0000 0.5214
```

---

No. 10
Al2InRe | PBE-GGA | optimized geometry

## Properties
* calculated formation energy: 0.09 eV per atom
* density of states at the Fermi level: 1.38 states/eV/f.u.
* space group: R-3m (166)
* total energy: -22.322 eV/cell

Geometry as POSCAR:
```
Al2InRe
1.0
-1.5098 -1.0809 8.8991
-2.9276 -3.5334 7.8477
0.0521 -3.6074 8.3442
In Re Al
1 1 2
Direct
0.2500 0.2500 0.2500
0.7500 0.7500 0.7500
0.0111 0.0111 0.0111
0.4890 0.4890 0.4890
```

---

No. 11
AlIn2Re | PBE-GGA | optimized geometry

## Properties
* calculated formation energy: 0.30 eV per atom
* density of states at the Fermi level: 1.53 states/eV/f.u.
* space group: R3m (160)
* total energy: -20.482 eV/cell

Geometry as POSCAR:
```
AlIn2Re
1.0
9.5062 -0.1872 -0.1096
9.0587 2.8883 -0.1096
9.0587 1.3180 2.5724
In Al Re
2 1 1
Direct
0.9950 0.9950 0.9950
0.7601 0.7601 0.7601
0.2388 0.2388 0.2388
0.5061 0.5061 0.5061
```

---

No. 12
Al2InRe | PBE-GGA | optimized geometry

## Properties
* calculated formation energy: 0.24 eV per atom
* density of states at the Fermi level: 3.19 states/eV/f.u.
* space group: R3m (160)
* total energy: -21.711 eV/cell

Geometry as POSCAR:
```
Al2InRe
1.0
-0.9610 -7.5446 -6.1326
1.9376 -7.3421 -6.1476
0.5982 -8.8637 -4.0658
Al Re In
2 1 1
Direct
0.0055 0.0055 0.0055
0.2574 0.2574 0.2574
0.7433 0.7433 0.7433
0.4938 0.4938 0.4938
```